Entry 1:
Compound: Cd12Ga2Hg
Source: Alexandria via LeMat-Bulk
Functional: PBE
Structure: optimized geometry

Cell and atoms, written as extended XYZ:
```
30
Lattice="-2.8282 4.6501 -2.2473 0.1220 -2.5013 -5.3293 -18.6507 -9.4143 3.9918" Properties=species:S:1:pos:R:3 pbc="T T T"
Cd -16.1621 -6.4007 -0.6187
Cd -14.8090 -7.4751 3.1696
Cd -18.7598 -6.8029 -2.0930
Cd -17.3449 -9.1455 -1.0068
Cd -6.2803 -3.1701 1.3442
Cd -2.5370 -1.6957 -4.1189
Cd -12.8172 -2.2956 -1.3172
Cd -7.6334 -2.0957 -2.4441
Cd -17.3860 -7.9275 1.6736
Cd -3.9503 0.6118 -5.2799
Cd -11.4209 -4.2556 0.5843
Cd -10.0149 -1.3942 -0.7265
Cd -12.3704 -6.2442 2.6476
Cd -8.5830 -4.0843 -0.3808
Cd -2.6178 -0.4124 -1.4700
Cd -10.3667 -1.9660 -3.7192
Cd -12.3434 -4.2250 -3.6538
Cd -3.8418 -1.9392 0.8223
Cd -10.9471 -6.1850 -1.7523
Cd -13.7236 -5.1698 -1.1406
Cd -18.8010 -5.5849 0.5874
Cd -5.1949 -0.8648 -2.9660
Cd -8.9348 -4.6562 -3.3734
Cd -4.0311 1.8951 -2.6311
Ga -6.4369 -0.2103 -0.0486
Ga -4.9618 -3.7860 -1.5896
Ga -13.5670 -8.1296 0.2522
Ga -15.0421 -4.5539 1.7932
Hg -1.4141 2.3251 -1.1236
Hg 0.0610 -1.2506 -2.6646
```

Values from the calculation:
- Formation enthalpy at 0 K: 0.095 eV per atom
- Symmetry: P4/nbm (125)

=====

Entry 2:
Compound: Ca3GaAu3
Source: Alexandria via LeMat-Bulk
Functional: PBE
Structure: optimized geometry

Cell and atoms, written as extended XYZ:
```
14
Lattice="4.2655 0.0000 0.6425 2.1029 5.5951 0.5191 0.0118 0.0287 14.4009" Properties=species:S:1:pos:R:3 pbc="T T T"
Ca 2.9514 1.9082 9.3662
Ca 3.4289 3.7156 6.1963
Ca 1.6372 1.4277 3.6108
Ca 4.7430 4.1960 11.9516
Ca 2.3013 1.6457 13.6813
Ca 4.0789 3.9780 1.8812
Ga 3.4205 0.3948 6.2519
Ga 2.9597 5.2289 9.3105
Au 5.2166 4.0809 8.8077
Au 1.1636 1.5429 6.7547
Au 2.2843 4.7440 13.7944
Au 4.0959 0.8797 1.7681
Au 5.8713 4.5794 4.4614
Au 0.5089 1.0443 11.1011
```

Values from the calculation:
- Formation enthalpy at 0 K: -0.738 eV per atom
- Energy above the lowest structure with this stoichiometry: 0.0 kJ/mol of atoms
- Symmetry: C2/m (12)

=====

Entry 3:
Compound: Be6FeCu
Source: Alexandria via LeMat-Bulk
Functional: PBE
Structure: optimized geometry

Cell and atoms, written as extended XYZ:
```
8
Lattice="4.1524 0.0000 0.0000 0.0000 4.1524 0.0000 0.0000 0.0000 4.1524" Properties=species:S:1:pos:R:3 pbc="T T T"
Be 2.0762 3.0831 0.0000
Be 3.0831 0.0000 2.0762
Be 0.0000 2.0762 1.0693
Be 1.0693 0.0000 2.0762
Be 2.0762 1.0693 0.0000
Be 0.0000 2.0762 3.0831
Fe 2.0762 2.0762 2.0762
Cu 0.0000 0.0000 0.0000
```

Values from the calculation:
- Formation enthalpy at 0 K: 0.086 eV per atom
- Symmetry: Pm-3 (200)

=====

Entry 4:
Compound: Dy4Ni13B4
Source: Alexandria via LeMat-Bulk
Functional: PBE
Structure: optimized geometry

Cell and atoms, written as extended XYZ:
```
21
Lattice="3.8902 0.0000 0.0000 0.0000 8.5289 -0.1673 0.0000 0.0302 8.5304" Properties=species:S:1:pos:R:3 pbc="T T T"
Dy 0.0000 2.6657 5.8332
Dy 0.0000 5.8933 2.5300
Dy 0.0000 1.2982 1.2685
Dy 0.0000 7.2608 7.0947
Ni 1.9451 4.2795 4.1816
Ni 1.9451 7.8606 2.3230
Ni 1.9451 0.6985 6.0402
Ni 1.9451 6.0547 0.5585
Ni 1.9451 2.5043 7.8047
Ni 0.0000 0.0151 4.2652
Ni 0.0000 4.2644 -0.0836
Ni 1.9451 1.8351 3.5814
Ni 1.9451 6.7239 4.7817
Ni 1.9451 4.9361 6.6114
Ni 1.9451 3.6230 1.7517
Ni 0.0000 3.2313 3.1573
Ni 0.0000 5.3278 5.2059
B 1.9451 0.0151 4.2652
B 1.9451 4.2644 -0.0836
B 1.9451 7.9792 0.3953
B 1.9451 0.5799 7.9679
```

Values from the calculation:
- Formation enthalpy at 0 K: -0.387 eV per atom
- Symmetry: Cmmm (65)